Crystalline PmZn11Ag at its relaxed geometry. Source: Alexandria via LeMat-Bulk, functional PBE.

Cell lengths 6.873, 6.873, 6.852 Å; angles 98.53, 98.53, 134.39 degrees
Sites, in units of the cell vectors:
Pm  0.000  0.000  0.000
Zn  0.000  0.500  0.000
Zn  0.002  0.360  0.353
Zn  0.286  0.508  0.783
Zn  0.360  0.002  0.353
Zn  0.492  0.714  0.217
Zn  0.500  0.000  0.000
Zn  0.500  0.500  0.500
Zn  0.508  0.286  0.783
Zn  0.640  0.998  0.647
Zn  0.714  0.492  0.217
Zn  0.998  0.640  0.647
Ag  0.000  0.000  0.500



Crystalline Pm2ZnAg5 at its relaxed geometry. Source: Alexandria via LeMat-Bulk, functional PBE.

Cell lengths 5.000, 5.000, 13.759 Å; angles 90.00, 90.00, 90.00 degrees
Sites, in units of the cell vectors:
Pm  0.000  0.000  0.250
Pm  0.000  0.000  0.750
Pm  0.500  0.500  0.250
Pm  0.500  0.500  0.750
Zn  0.000  0.000  0.000
Zn  0.500  0.500  0.500
Ag  0.000  0.000  0.500
Ag  0.000  0.500  0.105
Ag  0.000  0.500  0.395
Ag  0.000  0.500  0.605
Ag  0.000  0.500  0.895
Ag  0.500  0.000  0.105
Ag  0.500  0.000  0.395
Ag  0.500  0.000  0.605
Ag  0.500  0.000  0.895
Ag  0.500  0.500  0.000

Values from the calculation:
Energy above the most stable polymorph in this dataset ... 0.050 eV per atom



Crystalline Pm2ZnAg5 at its relaxed geometry. Source: Alexandria via LeMat-Bulk, functional PBE.

Cell lengths 8.796, 8.796, 9.826 Å; angles 90.00, 90.00, 151.90 degrees
Sites, in units of the cell vectors:
Pm  0.000  0.000  0.000
Pm  0.000  0.000  0.500
Pm  0.189  0.811  0.750
Pm  0.811  0.189  0.250
Zn  0.456  0.544  0.250
Zn  0.544  0.456  0.750
Ag  0.199  0.801  0.105
Ag  0.199  0.801  0.395
Ag  0.365  0.635  0.034
Ag  0.365  0.635  0.466
Ag  0.392  0.608  0.750
Ag  0.608  0.392  0.250
Ag  0.635  0.365  0.534
Ag  0.635  0.365  0.966
Ag  0.801  0.199  0.605
Ag  0.801  0.199  0.895

Values from the calculation:
Energy above the most stable polymorph in this dataset ... 0.000 eV per atom



Crystalline PmZn12Ag7 at its relaxed geometry. Source: Alexandria via LeMat-Bulk, functional PBE.

Cell lengths 8.169, 8.169, 8.169 Å; angles 109.47, 109.47, 109.47 degrees
Sites, in units of the cell vectors:
Pm  0.000  0.000  0.000
Zn  0.107  0.355  0.752
Zn  0.248  0.603  0.355
Zn  0.248  0.893  0.645
Zn  0.355  0.248  0.603
Zn  0.355  0.752  0.107
Zn  0.397  0.645  0.752
Zn  0.603  0.355  0.248
Zn  0.645  0.248  0.893
Zn  0.645  0.752  0.397
Zn  0.752  0.107  0.355
Zn  0.752  0.397  0.645
Zn  0.893  0.645  0.248
Ag  0.000  0.000  0.500
Ag  0.000  0.500  0.000
Ag  0.000  0.500  0.500
Ag  0.500  0.000  0.000
Ag  0.500  0.000  0.500
Ag  0.500  0.500  0.000
Ag  0.500  0.500  0.500



Crystalline Pm3ZnAg2 at its relaxed geometry. Source: Alexandria via LeMat-Bulk, functional PBE.

Cell lengths 3.709, 3.709, 11.080 Å; angles 90.00, 90.00, 90.00 degrees
Sites, in units of the cell vectors:
Pm  0.000  0.000  0.000
Pm  0.000  0.000  0.340
Pm  0.000  0.000  0.660
Zn  0.500  0.500  0.500
Ag  0.500  0.500  0.170
Ag  0.500  0.500  0.830



Crystalline PmZn8Ag4 at its relaxed geometry. Source: Alexandria via LeMat-Bulk, functional PBE.

Cell lengths 7.030, 7.030, 7.030 Å; angles 98.57, 98.57, 134.60 degrees
Sites, in units of the cell vectors:
Pm  0.000  0.000  0.000
Zn  0.000  0.355  0.355
Zn  0.000  0.645  0.645
Zn  0.290  0.500  0.790
Zn  0.355  0.000  0.355
Zn  0.500  0.290  0.790
Zn  0.500  0.710  0.210
Zn  0.645  0.000  0.645
Zn  0.710  0.500  0.210
Ag  0.000  0.000  0.500
Ag  0.000  0.500  0.000
Ag  0.500  0.000  0.000
Ag  0.500  0.500  0.500



Crystalline Pm6ZnAg2 at its relaxed geometry. Source: Alexandria via LeMat-Bulk, functional PBE.

Cell lengths 8.884, 8.884, 8.884 Å; angles 146.66, 131.72, 59.94 degrees
Sites, in units of the cell vectors:
Pm  0.082  0.336  0.747
Pm  0.244  0.000  0.244
Pm  0.411  0.664  0.747
Pm  0.589  0.336  0.253
Pm  0.756  0.000  0.756
Pm  0.918  0.664  0.253
Zn  0.000  0.500  0.500
Ag  0.333  0.833  0.500
Ag  0.667  0.167  0.500



Crystalline PmZn6Ag4 at its relaxed geometry. Source: Alexandria via LeMat-Bulk, functional PBE.

Cell lengths 7.420, 7.420, 4.258 Å; angles 90.00, 90.00, 120.00 degrees
Sites, in units of the cell vectors:
Pm  0.000  0.000  0.000
Zn  0.206  0.413  0.500
Zn  0.206  0.794  0.500
Zn  0.539  0.078  0.000
Zn  0.539  0.461  0.000
Zn  0.587  0.794  0.500
Zn  0.922  0.461  0.000
Ag  0.333  0.667  0.000
Ag  0.398  0.199  0.500
Ag  0.801  0.199  0.500
Ag  0.801  0.602  0.500



Number 1: volume 16.43 A^3/atom, formation energy -0.17 eV per atom. Number 2: volume 21.50 A^3/atom, formation energy -0.13 eV per atom. Number 3: volume 22.38 A^3/atom, formation energy -0.18 eV per atom. Number 4: volume 20.98 A^3/atom, formation energy 0.20 eV per atom. Number 5: volume 25.40 A^3/atom, formation energy -0.30 eV per atom. Number 6: volume 17.55 A^3/atom, formation energy -0.11 eV per atom. Number 7: volume 31.66 A^3/atom, formation energy 0.07 eV per atom. Number 8: volume 18.45 A^3/atom, formation energy -0.10 eV per atom.